Entry 1:
# AcErPdPt GGA-PBE optimized geometry
data_AcErPdPt
_chemical_formula_sum 'Ac4 Er4 Pd4 Pt4'
_space_group_name_H-M_alt 'F -4 3 m'
_space_group_IT_number 216
_space_group_name_Hall 'F -4 2 3'
_cell_length_a 7.291
_cell_length_b 7.291
_cell_length_c 7.291
_cell_angle_alpha 90.00
_cell_angle_beta 90.00
_cell_angle_gamma 90.00
loop_
_atom_site_label
_atom_site_fract_x
_atom_site_fract_y
_atom_site_fract_z
Ac1 0.000 0.000 0.000
Er1 0.000 0.000 0.500
Pd1 0.250 0.250 0.250
Pt1 0.250 0.250 0.750
# - crystal system = cubic
# - calculated formation energy (eV/atom) = -0.894
# - polymorph energy (0 for the lowest one) (eV/atom) = 0.084

Entry 2:
# Tl2GaPd6 GGA-PBE optimized geometry
data_Tl2GaPd6
_chemical_formula_sum 'Tl4 Ga2 Pd12'
_space_group_name_H-M_alt 'C 1 2/m 1'
_space_group_IT_number 12
_cell_length_a 14.226
_cell_length_b 7.592
_cell_length_c 3.071
_cell_angle_alpha 90.00
_cell_angle_beta 102.38
_cell_angle_gamma 90.00
loop_
_space_group_symop_operation_xyz
'x,y,z'
'-x,-y,-z'
'-x,y,-z'
'x,-y,z'
'x+1/2,y+1/2,z'
'-x+1/2,-y+1/2,-z'
'-x+1/2,y+1/2,-z'
'x+1/2,-y+1/2,z'
loop_
_atom_site_label
_atom_site_fract_x
_atom_site_fract_y
_atom_site_fract_z
Tl1 0.158 0.000 0.157
Ga1 0.000 0.500 0.500
Pd1 0.000 0.233 0.000
Pd2 0.166 0.315 0.665
# - crystal system = monoclinic
# - calculated formation energy (eV/atom) = -0.206

Entry 3:
# Ac2TmAg3Hg12 GGA-PBE optimized geometry
data_Ac2TmAg3Hg12
_chemical_formula_sum 'Ac6 Tm3 Ag9 Hg36'
_space_group_name_H-M_alt 'R -3 m'
_space_group_IT_number 166
_space_group_name_Hall '-R 3 2"'
_cell_length_a 6.9265
_cell_length_b 6.9265
_cell_length_c 36.5265
_cell_angle_alpha 90.00
_cell_angle_beta 90.00
_cell_angle_gamma 120.00
loop_
_atom_site_label
_atom_site_fract_x
_atom_site_fract_y
_atom_site_fract_z
Ac1 0.0000 0.0000 0.1358
Tm1 0.0000 0.0000 0.5000
Ag1 0.0000 0.5000 0.0000
Hg1 0.0240 0.5120 0.8875
Hg2 0.0381 0.5191 0.6152
# - crystal system = trigonal
# - calculated formation energy (eV/atom) = -0.089

Entry 4:
# BaAcAsO GGA-PBE optimized geometry
data_BaAcAsO
_chemical_formula_sum 'Ba2 Ac2 As2 O2'
_space_group_name_H-M_alt 'P 4/n m m'
_space_group_IT_number 129
_cell_length_a 4.888
_cell_length_b 4.888
_cell_length_c 9.625
_cell_angle_alpha 90.00
_cell_angle_beta 90.00
_cell_angle_gamma 90.00
loop_
_space_group_symop_operation_xyz
'x,y,z'
'-x,-y,-z'
'-y+1/2,x,z'
'y+1/2,-x,-z'
'-x+1/2,-y+1/2,z'
'x+1/2,y+1/2,-z'
'y,-x+1/2,z'
'-y,x+1/2,-z'
'x+1/2,-y,-z'
'-x+1/2,y,z'
'-y,-x,-z'
'y,x,z'
'-x,y+1/2,-z'
'x,-y+1/2,z'
'y+1/2,x+1/2,-z'
'-y+1/2,-x+1/2,z'
loop_
_atom_site_label
_atom_site_fract_x
_atom_site_fract_y
_atom_site_fract_z
Ba1 0.250 0.750 0.000
Ac1 0.250 0.250 0.347
As1 0.250 0.250 0.690
O1 0.250 0.250 0.107
# - crystal system = tetragonal
# - raw formation energy (eV per formula unit) = -7.88

Entry 5:
# TlPtW2 GGA-PBE optimized geometry
data_TlPtW2
_chemical_formula_sum 'Tl1 Pt1 W2'
_space_group_name_H-M_alt 'P 4/m m m'
_space_group_IT_number 123
_space_group_name_Hall '-P 4 2'
_cell_length_a 3.944
_cell_length_b 3.944
_cell_length_c 4.448
_cell_angle_alpha 90.00
_cell_angle_beta 90.00
_cell_angle_gamma 90.00
loop_
_atom_site_label
_atom_site_fract_x
_atom_site_fract_y
_atom_site_fract_z
Tl1 0.000 0.000 0.000
Pt1 0.500 0.500 0.000
W1 0.000 0.500 0.500
# - crystal system = tetragonal
# - calculated formation energy (eV/atom) = 0.552
# - polymorph energy (0 for the lowest one) (eV/atom) = 0.169

Entry 6:
# SmCoNiP2 GGA-PBE optimized geometry
data_SmCoNiP2
_chemical_formula_sum 'Sm2 Co2 Ni2 P4'
_space_group_name_H-M_alt 'I -4 m 2'
_space_group_IT_number 119
_space_group_name_Hall 'I -4 -2'
_cell_length_a 3.899
_cell_length_b 3.899
_cell_length_c 9.535
_cell_angle_alpha 90.00
_cell_angle_beta 90.00
_cell_angle_gamma 90.00
loop_
_atom_site_label
_atom_site_fract_x
_atom_site_fract_y
_atom_site_fract_z
Sm1 0.000 0.000 0.000
Co1 0.000 0.500 0.750
Ni1 0.000 0.500 0.250
P1 0.000 0.000 0.372
# - crystal system = tetragonal
# - calculated formation energy (eV/atom) = -0.975

Entry 7:
# NaZr2SnP GGA-PBE optimized geometry
data_NaZr2SnP
_chemical_formula_sum 'Na1 Zr2 Sn1 P1'
_space_group_name_H-M_alt 'P 4/m m m'
_space_group_IT_number 123
_space_group_name_Hall '-P 4 2'
_cell_length_a 5.053
_cell_length_b 5.053
_cell_length_c 4.818
_cell_angle_alpha 90.00
_cell_angle_beta 90.00
_cell_angle_gamma 90.00
loop_
_atom_site_label
_atom_site_fract_x
_atom_site_fract_y
_atom_site_fract_z
Na1 0.000 0.000 0.000
Zr1 0.000 0.500 0.000
Sn1 0.000 0.000 0.500
P1 0.500 0.500 0.500
# - crystal system = tetragonal
# - calculated formation energy (eV/atom) = 1.334

Entry 8:
# CrTeAu2 GGA-PBE optimized geometry
data_CrTeAu2
_chemical_formula_sum 'Cr1 Te1 Au2'
_space_group_name_H-M_alt 'P 4/m m m'
_space_group_IT_number 123
_space_group_name_Hall '-P 4 2'
_cell_length_a 3.098
_cell_length_b 3.098
_cell_length_c 8.626
_cell_angle_alpha 90.00
_cell_angle_beta 90.00
_cell_angle_gamma 90.00
loop_
_atom_site_label
_atom_site_fract_x
_atom_site_fract_y
_atom_site_fract_z
Cr1 0.000 0.000 0.000
Te1 0.000 0.000 0.500
Au1 0.500 0.500 0.199
# - crystal system = tetragonal
# - raw formation energy (eV per formula unit) = 0.94

Entry 9:
# Ac2SbRh3 GGA-PBE optimized geometry
data_Ac2SbRh3
_chemical_formula_sum 'Ac4 Sb2 Rh6'
_space_group_name_H-M_alt 'P 63/m m c'
_space_group_IT_number 194
_space_group_name_Hall '-P 6c 2c'
_cell_length_a 4.4675
_cell_length_b 4.4675
_cell_length_c 17.7809
_cell_angle_alpha 90.00
_cell_angle_beta 90.00
_cell_angle_gamma 120.00
loop_
_atom_site_label
_atom_site_fract_x
_atom_site_fract_y
_atom_site_fract_z
Ac1 0.0000 0.0000 0.1135
Sb1 0.3333 0.6667 0.2500
Rh1 0.3333 0.6667 0.0007
Rh2 0.3333 0.6667 0.7500
# - crystal system = hexagonal
# - raw formation energy (eV per formula unit) = -4.14
# - polymorph energy (0 for the lowest one) (eV/atom) = 0.000